SrAg2RhF8 | GGA-PBE | optimized geometry

Structure (POSCAR):
```
SrAg2RhF8
1.0
4.507 -0.248 -0.002
-0.233 5.568 -0.006
0.004 0.008 7.358
Sr Ag Rh F
1 2 1 8
direct
0.000 0.000 0.500
0.500 0.500 0.756
0.500 0.500 0.244
0.000 0.000 0.000
0.108 0.789 0.205
0.632 0.778 0.000
0.892 0.211 0.205
0.892 0.211 0.795
0.368 0.222 0.000
0.108 0.789 0.795
0.526 0.750 0.500
0.474 0.250 0.500
```

Values from the calculation:
Calculated total energy (eV/atom): -4.433
Mass density (Mg/m³): 5.03
E_form (uncorrected) (meV per atom): -1957
M_tot (μB/cell): 0.9